DFT (meta-GGA SCAN) results for a crystal of LiIrRh2 relaxed with PBEsol.

V, Å³/cell: 52.76
Space group: C2/m, No. 12
Energy of formation from the pure elements, meV/atom: -98
VASP energy, eV per atom: -35.36
D(E_F), states/eV/cell: 3.649
Energy above the most stable polymorph in this dataset, meV per atom: 57

a b c (Å): 2.657 4.577 4.579
angles (deg): 97.73 90.00 106.87
Fractional coordinates of all 4 atoms:
Li 0.500 0.000 0.000
Rh 0.744 0.487 0.749
Rh 0.256 0.513 0.251
Ir 0.000 0.000 0.500

DFT (meta-GGA SCAN) results for a crystal of Ti3NiSe relaxed with PBEsol.

V, Å³/cell: 90.05
Space group: Pm-3m, No. 221
VASP energy, eV per atom: -16.78
Energy relative to the elements, uncorrected, eV/atom: 0.09
D(E_F), states/eV/cell: 6.093

a b c (Å): 4.482 4.482 4.482
angles (deg): 90.00 90.00 90.00
Fractional coordinates of all 5 atoms:
Ti 0.000 0.500 0.000
Ti 0.000 0.000 0.500
Ni 0.000 0.000 0.000
Se 0.500 0.500 0.500
Ti 0.500 0.000 0.000

Copy entry 1 word for word.
DFT (meta-GGA SCAN) results for a crystal of LiIrRh2 relaxed with PBEsol.

V, Å³/cell: 52.76
Space group: C2/m, No. 12
Energy of formation from the pure elements, meV/atom: -98
VASP energy, eV per atom: -35.36
D(E_F), states/eV/cell: 3.649
Energy above the most stable polymorph in this dataset, meV per atom: 57

a b c (Å): 2.657 4.577 4.579
angles (deg): 97.73 90.00 106.87
Fractional coordinates of all 4 atoms:
Li 0.500 0.000 0.000
Rh 0.744 0.487 0.749
Rh 0.256 0.513 0.251
Ir 0.000 0.000 0.500

Q: What is the formula in the first record?
A: LiIrRh2